(1)
RbTbHg2F8 after structural relaxation, computed with PBE.

The total energy is -4.302 eV/atom.

a = 4.165 Å, b = 6.099 Å, c = 8.426 Å
α = 82.55°, β = 86.92°, γ = 80.79°
Positions (direct):
F 0.961 0.253 0.767
F 0.422 0.301 0.470
F 0.086 0.766 0.817
F 0.039 0.747 0.233
F 0.914 0.234 0.183
F 0.546 0.800 0.047
F 0.578 0.699 0.530
F 0.454 0.200 0.953
Hg 0.414 0.456 0.725
Hg 0.586 0.544 0.275
Tb 0.000 0.000 0.000
Rb 0.000 0.000 0.500

---

(2)
Zn2SbW after structural relaxation, computed with PBE.

The total energy is -4.444 eV/atom.

a = 2.959 Å, b = 2.959 Å, c = 8.688 Å
α = 90.00°, β = 90.00°, γ = 90.05°
Positions (direct):
Sb 0.000 0.000 0.539
Zn 0.500 0.500 0.194
Zn 0.000 0.000 0.989
W 0.500 0.500 0.778

---

(3)
Cs2SrI6O after structural relaxation, computed with PBE.

The total energy is -2.629 eV/atom.

a = 8.097 Å, b = 8.097 Å, c = 9.103 Å
α = 63.60°, β = 63.60°, γ = 90.00°
Positions (direct):
Cs 0.750 0.250 0.500
Cs 0.250 0.750 0.500
I 0.225 0.225 0.549
I 0.713 0.287 0.000
I 0.287 0.287 0.000
I 0.287 0.713 0.000
I 0.713 0.713 0.000
I 0.775 0.775 0.451
O 0.500 0.500 0.000
Sr 0.000 0.000 0.000

---

(4)
Be2IrCl after structural relaxation, computed with PBE.

The calculation puts the energy above the most stable polymorph in this dataset at 867.4 meV/atom. The total energy is -4.073 eV/atom.

a = 4.628 Å, b = 4.628 Å, c = 4.628 Å
α = 142.86°, β = 124.16°, γ = 68.98°
Positions (direct):
Cl 0.750 0.250 0.500
Be 0.504 0.504 0.000
Be 0.996 0.996 0.000
Ir 0.250 0.750 0.500

---

no.,magnetization (μB per cell),E_form (uncorrected) (eV per atom)
1,0.00,-2.54
2,0.00,0.46
3,0.00,-0.86
4,0.00,0.47